Sc4Tl2Ga | PBE | relaxed

Summary:
DOS(E_F) (states/eV/f.u.): 5.20
Energy above the most stable polymorph in this dataset (meV/atom): 159
Calculated formation energy (eV per formula unit): -0.38

Cell: 5.043 5.043 14.545 Å, 90.00 90.00 90.00°
Sites, in units of the cell vectors:
Sc: 0.000 0.000 0.181
Sc: 0.000 0.000 0.819
Sc: 0.000 0.500 0.000
Sc: 0.000 0.500 0.500
Sc: 0.500 0.000 0.000
Sc: 0.500 0.000 0.500
Sc: 0.500 0.500 0.319
Sc: 0.500 0.500 0.681
Tl: 0.000 0.000 0.378
Tl: 0.000 0.000 0.622
Tl: 0.500 0.500 0.122
Tl: 0.500 0.500 0.878
Ga: 0.000 0.000 0.000
Ga: 0.500 0.500 0.500



Sc2TlGa2 | PBE | relaxed

Summary:
DOS(E_F) (states/eV/f.u.): 5.06
Energy above the most stable polymorph in this dataset (meV/atom): 349
Calculated formation energy (eV per formula unit): -0.40

Cell: 4.582 4.582 11.333 Å, 90.00 90.00 90.00°
Sites, in units of the cell vectors:
Sc: 0.000 0.500 0.250
Sc: 0.000 0.500 0.750
Sc: 0.500 0.000 0.250
Sc: 0.500 0.000 0.750
Tl: 0.000 0.000 0.000
Tl: 0.500 0.500 0.500
Ga: 0.000 0.000 0.395
Ga: 0.000 0.000 0.605
Ga: 0.500 0.500 0.105
Ga: 0.500 0.500 0.895



Sc4TlGa2 | PBE | relaxed

Summary:
DOS(E_F) (states/eV/f.u.): 6.65
Calculated formation energy (eV per formula unit): -1.21

Cell: 9.228 9.228 9.228 Å, 29.40 29.40 29.40°
Sites, in units of the cell vectors:
Sc: 0.116 0.116 0.116
Sc: 0.296 0.296 0.296
Sc: 0.704 0.704 0.704
Sc: 0.884 0.884 0.884
Tl: 0.500 0.500 0.500
Ga: 0.399 0.399 0.399
Ga: 0.601 0.601 0.601



Sc4Tl2Ga | PBE | relaxed

Summary:
DOS(E_F) (states/eV/f.u.): 9.21
Energy above the most stable polymorph in this dataset (meV/atom): 0
Calculated formation energy (eV per formula unit): -1.49

Cell: 8.558 8.558 8.558 Å, 33.33 33.33 33.33°
Sites, in units of the cell vectors:
Sc: 0.123 0.123 0.123
Sc: 0.375 0.375 0.375
Sc: 0.625 0.625 0.625
Sc: 0.877 0.877 0.877
Tl: 0.244 0.244 0.244
Tl: 0.756 0.756 0.756
Ga: 0.000 0.000 0.000



Sc4TlGa | PBE | relaxed

Summary:
DOS(E_F) (states/eV/f.u.): 7.03
Energy above the most stable polymorph in this dataset (meV/atom): 33
Calculated formation energy (eV per formula unit): -0.58

Cell: 3.400 5.191 8.113 Å, 90.00 90.00 90.00°
Sites, in units of the cell vectors:
Sc: 0.000 0.000 0.187
Sc: 0.000 0.000 0.813
Sc: 0.500 0.500 0.285
Sc: 0.500 0.500 0.715
Tl: 0.500 0.000 0.500
Ga: 0.000 0.500 0.000



ScTlGa3 | PBE | relaxed

Summary:
DOS(E_F) (states/eV/f.u.): 3.61
Energy above the most stable polymorph in this dataset (meV/atom): 299
Calculated formation energy (eV per formula unit): 3.38

Cell: 5.242 5.242 5.242 Å, 90.00 90.00 90.00°
Sites, in units of the cell vectors:
Sc: 0.000 0.000 0.000
Tl: 0.500 0.500 0.500
Ga: 0.000 0.500 0.500
Ga: 0.500 0.000 0.500
Ga: 0.500 0.500 0.000



Sc2TlGa2 | PBE | relaxed

Summary:
DOS(E_F) (states/eV/f.u.): 2.00
Energy above the most stable polymorph in this dataset (meV/atom): 0
Calculated formation energy (eV per formula unit): -2.15

Cell: 7.689 7.689 3.450 Å, 90.00 90.00 90.00°
Sites, in units of the cell vectors:
Sc: 0.180 0.320 0.000
Sc: 0.320 0.820 0.000
Sc: 0.680 0.180 0.000
Sc: 0.820 0.680 0.000
Tl: 0.000 0.000 0.500
Tl: 0.500 0.500 0.500
Ga: 0.117 0.617 0.500
Ga: 0.383 0.117 0.500
Ga: 0.617 0.883 0.500
Ga: 0.883 0.383 0.500



Sc12Tl5Ga2 | PBE | relaxed

Summary:
DOS(E_F) (states/eV/f.u.): 21.26
Calculated formation energy (eV per formula unit): -3.18

Cell: 8.718 8.718 8.530 Å, 96.14 96.14 45.06°
Sites, in units of the cell vectors:
Sc: 0.002 0.002 0.192
Sc: 0.092 0.607 0.979
Sc: 0.105 0.584 0.574
Sc: 0.393 0.908 0.021
Sc: 0.416 0.895 0.426
Sc: 0.467 0.467 0.317
Sc: 0.533 0.533 0.683
Sc: 0.584 0.105 0.574
Sc: 0.607 0.092 0.979
Sc: 0.895 0.416 0.426
Sc: 0.908 0.393 0.021
Sc: 0.998 0.998 0.808
Tl: 0.201 0.201 0.739
Tl: 0.275 0.275 0.253
Tl: 0.500 0.500 0.000
Tl: 0.725 0.725 0.747
Tl: 0.799 0.799 0.261
Ga: 0.178 0.822 0.500
Ga: 0.822 0.178 0.500



Sc2TlGa | PBE | relaxed

Summary:
DOS(E_F) (states/eV/f.u.): 5.22
Energy above the most stable polymorph in this dataset (meV/atom): 318
Calculated formation energy (eV per formula unit): -0.37

Cell: 7.681 7.681 6.371 Å, 90.00 90.00 90.00°
Sites, in units of the cell vectors:
Sc: 0.231 0.750 0.125
Sc: 0.250 0.231 0.875
Sc: 0.250 0.269 0.375
Sc: 0.269 0.750 0.625
Sc: 0.731 0.250 0.625
Sc: 0.750 0.731 0.375
Sc: 0.750 0.769 0.875
Sc: 0.769 0.250 0.125
Tl: 0.000 0.000 0.500
Tl: 0.000 0.500 0.750
Tl: 0.500 0.000 0.250
Tl: 0.500 0.500 0.000
Ga: 0.000 0.000 0.000
Ga: 0.000 0.500 0.250
Ga: 0.500 0.000 0.750
Ga: 0.500 0.500 0.500



Sc5Tl4Ga | PBE | relaxed

Summary:
DOS(E_F) (states/eV/f.u.): 6.85
Calculated formation energy (eV per formula unit): -3.18

Cell: 3.495 3.495 18.481 Å, 90.00 90.00 90.00°
Sites, in units of the cell vectors:
Sc: 0.000 0.000 0.000
Sc: 0.000 0.000 0.208
Sc: 0.000 0.000 0.413
Sc: 0.000 0.000 0.587
Sc: 0.000 0.000 0.792
Tl: 0.500 0.500 0.104
Tl: 0.500 0.500 0.310
Tl: 0.500 0.500 0.690
Tl: 0.500 0.500 0.896
Ga: 0.500 0.500 0.500



Sc12Tl3Ga | PBE | relaxed

Summary:
DOS(E_F) (states/eV/f.u.): 18.83
Calculated formation energy (eV per formula unit): -3.72

Cell: 4.499 4.499 17.952 Å, 90.00 90.00 90.00°
Sites, in units of the cell vectors:
Sc: 0.000 0.000 0.000
Sc: 0.000 0.000 0.246
Sc: 0.000 0.000 0.500
Sc: 0.000 0.000 0.754
Sc: 0.000 0.500 0.118
Sc: 0.000 0.500 0.373
Sc: 0.000 0.500 0.627
Sc: 0.000 0.500 0.882
Sc: 0.500 0.000 0.118
Sc: 0.500 0.000 0.373
Sc: 0.500 0.000 0.627
Sc: 0.500 0.000 0.882
Tl: 0.500 0.500 0.247
Tl: 0.500 0.500 0.500
Tl: 0.500 0.500 0.753
Ga: 0.500 0.500 0.000



YScTlGa | PBE | relaxed

Summary:
DOS(E_F) (states/eV/f.u.): 1.97
Calculated formation energy (eV per formula unit): -1.63

Cell: 7.203 7.203 7.203 Å, 90.00 90.00 90.00°
Sites, in units of the cell vectors:
Y: 0.000 0.000 0.000
Y: 0.000 0.500 0.500
Y: 0.500 0.000 0.500
Y: 0.500 0.500 0.000
Sc: 0.000 0.000 0.500
Sc: 0.000 0.500 0.000
Sc: 0.500 0.000 0.000
Sc: 0.500 0.500 0.500
Tl: 0.250 0.250 0.750
Tl: 0.250 0.750 0.250
Tl: 0.750 0.250 0.250
Tl: 0.750 0.750 0.750
Ga: 0.250 0.250 0.250
Ga: 0.250 0.750 0.750
Ga: 0.750 0.250 0.750
Ga: 0.750 0.750 0.250



ZrScTlGa2 | PBE | relaxed

Summary:
DOS(E_F) (states/eV/f.u.): 5.40
Calculated formation energy (eV per formula unit): 3.28

Cell: 4.963 4.963 5.287 Å, 90.00 90.00 90.00°
Sites, in units of the cell vectors:
Zr: 0.000 0.000 0.000
Sc: 0.500 0.500 0.500
Tl: 0.500 0.500 0.000
Ga: 0.000 0.500 0.500
Ga: 0.500 0.000 0.500



ZrScTlGa | PBE | relaxed

Summary:
DOS(E_F) (states/eV/f.u.): 4.24
Calculated formation energy (eV per formula unit): -0.90

Cell: 6.982 6.982 6.982 Å, 90.00 90.00 90.00°
Sites, in units of the cell vectors:
Zr: 0.000 0.000 0.000
Zr: 0.000 0.500 0.500
Zr: 0.500 0.000 0.500
Zr: 0.500 0.500 0.000
Sc: 0.000 0.000 0.500
Sc: 0.000 0.500 0.000
Sc: 0.500 0.000 0.000
Sc: 0.500 0.500 0.500
Tl: 0.250 0.250 0.250
Tl: 0.250 0.750 0.750
Tl: 0.750 0.250 0.750
Tl: 0.750 0.750 0.250
Ga: 0.250 0.250 0.750
Ga: 0.250 0.750 0.250
Ga: 0.750 0.250 0.250
Ga: 0.750 0.750 0.750



Tm3Sc2Ga4 | PBE | relaxed

Summary:
DOS(E_F) (states/eV/f.u.): 8.40
Calculated formation energy (eV per formula unit): -4.25

Cell: 5.717 5.717 9.134 Å, 91.85 91.85 43.71°
Sites, in units of the cell vectors:
Tm: 0.000 0.000 0.000
Tm: 0.376 0.376 0.611
Tm: 0.624 0.624 0.389
Sc: 0.320 0.320 0.230
Sc: 0.680 0.680 0.770
Ga: 0.079 0.079 0.616
Ga: 0.306 0.306 0.925
Ga: 0.694 0.694 0.075
Ga: 0.921 0.921 0.384



Tm2ScGa | PBE | relaxed

Summary:
DOS(E_F) (states/eV/f.u.): 4.37
Energy above the most stable polymorph in this dataset (meV/atom): 95
Calculated formation energy (eV per formula unit): -0.73

Cell: 3.483 3.483 29.559 Å, 90.00 90.00 120.00°
Sites, in units of the cell vectors:
Tm: 0.000 0.000 0.000
Tm: 0.000 0.000 0.184
Tm: 0.333 0.667 0.667
Tm: 0.333 0.667 0.851
Tm: 0.667 0.333 0.333
Tm: 0.667 0.333 0.518
Sc: 0.000 0.000 0.426
Sc: 0.333 0.667 0.092
Sc: 0.667 0.333 0.759
Ga: 0.000 0.000 0.592
Ga: 0.333 0.667 0.259
Ga: 0.667 0.333 0.925



Tm3ScGa4 | PBE | relaxed

Summary:
DOS(E_F) (states/eV/f.u.): 3.22
Calculated formation energy (eV per formula unit): -4.52

Cell: 8.556 8.556 8.556 Å, 33.43 33.43 33.43°
Sites, in units of the cell vectors:
Tm: 0.000 0.000 0.000
Tm: 0.249 0.249 0.249
Tm: 0.751 0.751 0.751
Sc: 0.500 0.500 0.500
Ga: 0.126 0.126 0.126
Ga: 0.376 0.376 0.376
Ga: 0.624 0.624 0.624
Ga: 0.874 0.874 0.874



Tm2ScGa | PBE | relaxed

Summary:
DOS(E_F) (states/eV/f.u.): 5.38
Energy above the most stable polymorph in this dataset (meV/atom): 315
Calculated formation energy (eV per formula unit): 0.15

Cell: 3.362 3.362 32.732 Å, 90.00 90.00 120.00°
Sites, in units of the cell vectors:
Tm: 0.000 0.000 0.098
Tm: 0.000 0.000 0.902
Tm: 0.333 0.667 0.568
Tm: 0.333 0.667 0.765
Tm: 0.667 0.333 0.235
Tm: 0.667 0.333 0.432
Sc: 0.000 0.000 0.000
Sc: 0.333 0.667 0.667
Sc: 0.667 0.333 0.333
Ga: 0.000 0.000 0.500
Ga: 0.333 0.667 0.167
Ga: 0.667 0.333 0.833



TmScGa2 | PBE | relaxed

Summary:
DOS(E_F) (states/eV/f.u.): 3.09
Energy above the most stable polymorph in this dataset (meV/atom): 0
Calculated formation energy (eV per formula unit): -2.41

Cell: 3.931 4.193 10.494 Å, 90.00 90.00 90.00°
Sites, in units of the cell vectors:
Tm: 0.000 0.000 0.000
Tm: 0.000 0.500 0.500
Sc: 0.500 0.000 0.277
Sc: 0.500 0.500 0.777
Ga: 0.000 0.000 0.722
Ga: 0.000 0.500 0.222
Ga: 0.500 0.000 0.562
Ga: 0.500 0.500 0.062



TmSc2Ga | PBE | relaxed

Summary:
DOS(E_F) (states/eV/f.u.): 4.18
Energy above the most stable polymorph in this dataset (meV/atom): 18
Calculated formation energy (eV per formula unit): -1.16

Cell: 3.319 3.319 8.419 Å, 90.00 90.00 90.00°
Sites, in units of the cell vectors:
Tm: 0.000 0.000 0.000
Sc: 0.500 0.500 0.292
Sc: 0.500 0.500 0.708
Ga: 0.000 0.000 0.500